# PBE TcOsBr2, optimized geometry
# Relative energy among the computed polymorphs in meV per atom: 1190
# Uncorrected formation energy in meV per atom: 1470
# Total energy in eV/f.u.: -19.1
data_TcOsBr2
_chemical_formula_sum 'Tc4 Os4 Br8'
_space_group_name_H-M_alt 'F m -3 m'
_space_group_IT_number 225
_space_group_name_Hall '-F 4 2 3'
_cell_length_a 6.415
_cell_length_b 6.415
_cell_length_c 6.415
_cell_angle_alpha 90.00
_cell_angle_beta 90.00
_cell_angle_gamma 90.00
loop_
_atom_site_label
_atom_site_fract_x
_atom_site_fract_y
_atom_site_fract_z
_atom_site_occupancy
Tc1 0.000 0.000 0.000 1
Os1 0.000 0.000 0.500 1
Br1 0.250 0.250 0.250 1